# 1
Compound: Na5In3Cl12
Source: the Alexandria database
Functional: GGA-PBE
Structure: relaxed

Cell: 13.9894 13.9894 13.9894 Å, 109.47 109.47 109.47°
Atoms (fractional coordinates):
Na 0.0000 0.0000 0.0000
Na 0.0000 0.0000 0.5000
Na 0.0000 0.5000 0.0000
Na 0.0000 0.5000 0.5000
Na 0.1250 0.7500 0.8750
Na 0.1250 0.8750 0.2500
Na 0.2500 0.1250 0.8750
Na 0.2500 0.6250 0.3750
Na 0.3750 0.2500 0.6250
Na 0.3750 0.6250 0.7500
Na 0.5000 0.0000 0.0000
Na 0.5000 0.0000 0.5000
Na 0.5000 0.5000 0.0000
Na 0.5000 0.5000 0.5000
Na 0.6250 0.3750 0.2500
Na 0.6250 0.7500 0.3750
Na 0.7500 0.3750 0.6250
Na 0.7500 0.8750 0.1250
Na 0.8750 0.1250 0.7500
Na 0.8750 0.2500 0.1250
In 0.1250 0.2500 0.3750
In 0.1250 0.3750 0.7500
In 0.2500 0.3750 0.1250
In 0.2500 0.8750 0.6250
In 0.3750 0.1250 0.2500
In 0.3750 0.7500 0.1250
In 0.6250 0.2500 0.8750
In 0.6250 0.8750 0.7500
In 0.7500 0.1250 0.3750
In 0.7500 0.6250 0.8750
In 0.8750 0.6250 0.2500
In 0.8750 0.7500 0.6250
Cl 0.0556 0.2295 0.1298
Cl 0.0556 0.3261 0.9258
Cl 0.0742 0.6298 0.4003
Cl 0.0742 0.9444 0.6739
Cl 0.0997 0.7295 0.6739
Cl 0.0997 0.8702 0.4258
Cl 0.1298 0.0556 0.2295
Cl 0.1298 0.5742 0.9003
Cl 0.1739 0.2295 0.5997
Cl 0.1739 0.4444 0.5742
Cl 0.2295 0.1298 0.0556
Cl 0.2295 0.5997 0.1739
Cl 0.2705 0.3261 0.9003
Cl 0.2705 0.4444 0.3702
Cl 0.3261 0.9003 0.2705
Cl 0.3261 0.9258 0.0556
Cl 0.3702 0.2705 0.4444
Cl 0.3702 0.5997 0.9258
Cl 0.4003 0.0742 0.6298
Cl 0.4003 0.8261 0.7705
Cl 0.4258 0.0997 0.8702
Cl 0.4258 0.8261 0.5556
Cl 0.4444 0.3702 0.2705
Cl 0.4444 0.5742 0.1739
Cl 0.5556 0.4258 0.8261
Cl 0.5556 0.6298 0.7295
Cl 0.5742 0.1739 0.4444
Cl 0.5742 0.9003 0.1298
Cl 0.5997 0.1739 0.2295
Cl 0.5997 0.9258 0.3702
Cl 0.6298 0.4003 0.0742
Cl 0.6298 0.7295 0.5556
Cl 0.6739 0.0742 0.9444
Cl 0.6739 0.0997 0.7295
Cl 0.7295 0.5556 0.6298
Cl 0.7295 0.6739 0.0997
Cl 0.7705 0.4003 0.8261
Cl 0.7705 0.8702 0.9444
Cl 0.8261 0.5556 0.4258
Cl 0.8261 0.7705 0.4003
Cl 0.8702 0.4258 0.0997
Cl 0.8702 0.9444 0.7705
Cl 0.9003 0.1298 0.5742
Cl 0.9003 0.2705 0.3261
Cl 0.9258 0.0556 0.3261
Cl 0.9258 0.3702 0.5997
Cl 0.9444 0.6739 0.0742
Cl 0.9444 0.7705 0.8702

=====

# 2
Compound: Na2InCl
Source: the Alexandria database
Functional: GGA-PBE
Structure: relaxed

Cell: 7.7288 7.7288 7.7288 Å, 90.00 90.00 90.00°
Atoms (fractional coordinates):
Na 0.2500 0.2500 0.2500
Na 0.2500 0.2500 0.7500
Na 0.2500 0.7500 0.2500
Na 0.2500 0.7500 0.7500
Na 0.7500 0.2500 0.2500
Na 0.7500 0.2500 0.7500
Na 0.7500 0.7500 0.2500
Na 0.7500 0.7500 0.7500
In 0.0000 0.0000 0.0000
In 0.0000 0.5000 0.5000
In 0.5000 0.0000 0.5000
In 0.5000 0.5000 0.0000
Cl 0.0000 0.0000 0.5000
Cl 0.0000 0.5000 0.0000
Cl 0.5000 0.0000 0.0000
Cl 0.5000 0.5000 0.5000

=====

# 3
Compound: Na3In5Cl12
Source: the Alexandria database
Functional: GGA-PBE
Structure: relaxed

Cell: 15.0363 15.0363 15.0363 Å, 109.47 109.47 109.47°
Atoms (fractional coordinates):
Na 0.1250 0.2500 0.3750
Na 0.1250 0.3750 0.7500
Na 0.2500 0.3750 0.1250
Na 0.2500 0.8750 0.6250
Na 0.3750 0.1250 0.2500
Na 0.3750 0.7500 0.1250
Na 0.6250 0.2500 0.8750
Na 0.6250 0.8750 0.7500
Na 0.7500 0.1250 0.3750
Na 0.7500 0.6250 0.8750
Na 0.8750 0.6250 0.2500
Na 0.8750 0.7500 0.6250
In 0.0000 0.0000 0.0000
In 0.0000 0.0000 0.5000
In 0.0000 0.5000 0.0000
In 0.0000 0.5000 0.5000
In 0.1250 0.7500 0.8750
In 0.1250 0.8750 0.2500
In 0.2500 0.1250 0.8750
In 0.2500 0.6250 0.3750
In 0.3750 0.2500 0.6250
In 0.3750 0.6250 0.7500
In 0.5000 0.0000 0.0000
In 0.5000 0.0000 0.5000
In 0.5000 0.5000 0.0000
In 0.5000 0.5000 0.5000
In 0.6250 0.3750 0.2500
In 0.6250 0.7500 0.3750
In 0.7500 0.3750 0.6250
In 0.7500 0.8750 0.1250
In 0.8750 0.1250 0.7500
In 0.8750 0.2500 0.1250
Cl 0.0390 0.2295 0.1348
Cl 0.0390 0.3095 0.9042
Cl 0.0948 0.7295 0.6905
Cl 0.0948 0.8652 0.4042
Cl 0.0958 0.6348 0.4052
Cl 0.0958 0.9610 0.6905
Cl 0.1348 0.0390 0.2295
Cl 0.1348 0.5958 0.9052
Cl 0.1905 0.2295 0.5948
Cl 0.1905 0.4610 0.5958
Cl 0.2295 0.1348 0.0390
Cl 0.2295 0.5948 0.1905
Cl 0.2705 0.3095 0.9052
Cl 0.2705 0.4610 0.3652
Cl 0.3095 0.9042 0.0390
Cl 0.3095 0.9052 0.2705
Cl 0.3652 0.2705 0.4610
Cl 0.3652 0.5948 0.9042
Cl 0.4042 0.0948 0.8652
Cl 0.4042 0.8095 0.5390
Cl 0.4052 0.0958 0.6348
Cl 0.4052 0.8095 0.7705
Cl 0.4610 0.3652 0.2705
Cl 0.4610 0.5958 0.1905
Cl 0.5390 0.4042 0.8095
Cl 0.5390 0.6348 0.7295
Cl 0.5948 0.1905 0.2295
Cl 0.5948 0.9042 0.3652
Cl 0.5958 0.1905 0.4610
Cl 0.5958 0.9052 0.1348
Cl 0.6348 0.4052 0.0958
Cl 0.6348 0.7295 0.5390
Cl 0.6905 0.0948 0.7295
Cl 0.6905 0.0958 0.9610
Cl 0.7295 0.5390 0.6348
Cl 0.7295 0.6905 0.0948
Cl 0.7705 0.4052 0.8095
Cl 0.7705 0.8652 0.9610
Cl 0.8095 0.5390 0.4042
Cl 0.8095 0.7705 0.4052
Cl 0.8652 0.4042 0.0948
Cl 0.8652 0.9610 0.7705
Cl 0.9042 0.0390 0.3095
Cl 0.9042 0.3652 0.5948
Cl 0.9052 0.1348 0.5958
Cl 0.9052 0.2705 0.3095
Cl 0.9610 0.6905 0.0958
Cl 0.9610 0.7705 0.8652

=====

# 4
Compound: NaIn4Cl5
Source: the Alexandria database
Functional: GGA-PBE
Structure: relaxed

Cell: 7.7282 7.7282 7.7282 Å, 99.15 99.15 133.01°
Atoms (fractional coordinates):
Na 0.0000 0.0000 0.0000
In 0.1949 0.5944 0.7894
In 0.4056 0.1949 0.6005
In 0.5944 0.8051 0.3995
In 0.8051 0.4056 0.2106
Cl 0.1197 0.2523 0.3720
Cl 0.2523 0.8803 0.1326
Cl 0.5000 0.5000 0.0000
Cl 0.7477 0.1197 0.8674
Cl 0.8803 0.7477 0.6280

=====

no.,formation energy without anion corrections (eV/atom)
1,-1.1942
2,-0.4219
3,-1.0755
4,-0.9932